No. 1
Density functional theory data (PBE) for a relaxed structure of RbZrAuSeS2.

Cell lengths 7.994, 7.994, 10.306 Å; angles 90.00, 90.00, 151.92 degrees
Sites, in units of the cell vectors:
Rb 0.245 0.755 0.750
Rb 0.755 0.245 0.250
Zr 0.000 0.000 0.000
Zr 0.000 0.000 0.500
Au 0.451 0.549 0.250
Au 0.549 0.451 0.750
Se 0.072 0.928 0.250
Se 0.928 0.072 0.750
S 0.387 0.613 0.036
S 0.387 0.613 0.464
S 0.613 0.387 0.536
S 0.613 0.387 0.964

Calculated values
The calculation puts the density at 5.54 g/cm3. The calculation puts the raw total energy at -5.15 eV per atom. The crystal system is orthorhombic. For the size of the total moment, the calculation gives 0.000 μB per atom.

No. 2
Density functional theory data (PBE) for a relaxed structure of Hf2CdMo.

Cell lengths 4.783, 4.783, 4.783 Å; angles 60.00, 60.00, 60.00 degrees
Sites, in units of the cell vectors:
Hf 0.000 0.000 0.000
Hf 0.250 0.250 0.250
Cd 0.750 0.750 0.750
Mo 0.500 0.500 0.500

Calculated values
The calculation puts the density at 12.13 g/cm3. The calculation puts the raw total energy at -7.63 eV per atom. The energy of formation is 287 meV/atom. The crystal system is cubic. For the size of the total moment, the calculation gives 0.002 μB per atom.